Model P:
Below is a geometry-optimized SrTeHI2 structure, with properties calculated at the PBE level.

a = 5.927 Å, b = 5.927 Å, c = 4.124 Å
α = 90.00°, β = 90.00°, γ = 90.00°
Atoms (fractional coordinates):
I 0.000 0.500 0.000
Sr 0.500 0.500 0.500
I 0.500 0.000 0.000
Te 0.000 0.000 0.500
H 0.000 0.000 0.000

Values from the calculation:
Volume, Å³ per cell: 145


Model Q:
Below is a geometry-optimized SrTeHI2 structure, with properties calculated at the PBE level.

a = 6.432 Å, b = 6.432 Å, c = 6.707 Å
α = 90.00°, β = 90.00°, γ = 90.00°
Last column: magnetic moment on the atom in μB.
Atoms (fractional coordinates):
H 0.500 0.500 0.500  0.38
I 0.000 0.500 0.000  0.12
Te 0.000 0.000 0.500  0.83
I 0.500 0.000 0.000  0.12
Sr 0.000 0.000 0.000  -0.01

Values from the calculation:
Volume, Å³ per cell: 277


Least stable structure: model Q


Model P:
Below is a geometry-optimized SrY2HI structure, with properties calculated at the PBE level.

a = 4.734 Å, b = 6.652 Å, c = 4.734 Å
α = 90.00°, β = 90.00°, γ = 90.00°
Last column: magnetic moment on the atom in μB.
Atoms (fractional coordinates):
I 0.000 0.500 0.000  0.00
Sr 0.500 0.500 0.500  0.02
H 0.000 0.000 0.000  -0.01
Y 0.000 0.000 0.500  0.33
Y 0.500 0.000 0.000  0.34

Values from the calculation:
Volume, Å³ per cell: 149


Model Q:
Below is a geometry-optimized SrY2HI structure, with properties calculated at the PBE level.

a = 6.541 Å, b = 4.075 Å, c = 6.541 Å
α = 90.00°, β = 90.00°, γ = 90.00°
Last column: magnetic moment on the atom in μB.
Atoms (fractional coordinates):
Y 0.000 0.000 0.500  0.25
Y 0.500 0.000 0.000  0.13
I 0.500 0.500 0.500  0.00
H 0.000 0.500 0.000  -0.01
Sr 0.000 0.000 0.000  0.02

Values from the calculation:
Volume, Å³ per cell: 174


Least stable structure: model Q


Model P:
Below is a geometry-optimized Ta2HI structure, with properties calculated at the PBE level.

a = 4.554 Å, b = 4.554 Å, c = 4.554 Å
α = 60.00°, β = 60.00°, γ = 60.00°
Atoms (fractional coordinates):
H 0.000 0.000 0.000
Ta 0.750 0.750 0.750
I 0.500 0.500 0.500
Ta 0.250 0.250 0.250

Values from the calculation:
Volume, Å³ per cell: 67


Model Q:
Below is a geometry-optimized Ta2HI structure, with properties calculated at the PBE level.

a = 5.207 Å, b = 5.207 Å, c = 6.451 Å
α = 66.20°, β = 66.20°, γ = 90.00°
Atoms (fractional coordinates):
H 0.250 0.750 0.500
I 0.000 0.000 0.000
Ta 0.375 0.545 0.750
I 0.750 0.250 0.500
Ta 0.875 0.705 0.750
Ta 0.295 0.625 0.250
H 0.500 0.500 0.000
Ta 0.455 0.125 0.250

Values from the calculation:
Volume, Å³ per cell: 144


Least stable structure: model P


Model P:
Below is a geometry-optimized TaH2I structure, with properties calculated at the PBE level.

a = 5.985 Å, b = 5.985 Å, c = 5.250 Å
α = 55.26°, β = 55.26°, γ = 90.00°
Atoms (fractional coordinates):
H 0.003 0.625 0.250
H 0.747 0.125 0.250
I 0.250 0.750 0.500
H 0.875 0.997 0.750
H 0.375 0.253 0.750
Ta 0.750 0.250 0.500
Ta 0.000 0.000 0.000
I 0.500 0.500 0.000

Values from the calculation:
Volume, Å³ per cell: 111


Model Q:
Below is a geometry-optimized TaH2I structure, with properties calculated at the PBE level.

a = 4.196 Å, b = 4.196 Å, c = 4.196 Å
α = 60.00°, β = 60.00°, γ = 60.00°
Atoms (fractional coordinates):
Ta 0.500 0.500 0.500
I 0.000 0.000 0.000
H 0.250 0.250 0.250
H 0.750 0.750 0.750

Values from the calculation:
Volume, Å³ per cell: 52


Least stable structure: model Q


Model P:
Below is a geometry-optimized TaHI3 structure, with properties calculated at the PBE level.

a = 5.576 Å, b = 5.576 Å, c = 5.576 Å
α = 90.00°, β = 90.00°, γ = 90.00°
Last column: magnetic moment on the atom in μB.
Atoms (fractional coordinates):
Ta 0.000 0.000 0.000  -0.01
H 0.500 0.500 0.500  0.38
I 0.000 0.500 0.000  0.01
I 0.000 0.000 0.500  0.01
I 0.500 0.000 0.000  0.00

Values from the calculation:
Volume, Å³ per cell: 173


Model Q:
Below is a geometry-optimized TaHI3 structure, with properties calculated at the PBE level.

a = 4.930 Å, b = 4.930 Å, c = 4.930 Å
α = 90.00°, β = 90.00°, γ = 90.00°
Last column: magnetic moment on the atom in μB.
Atoms (fractional coordinates):
I 0.000 0.000 0.500  -0.09
I 0.000 0.500 0.000  -0.14
H 0.000 0.000 0.000  0.01
I 0.500 0.000 0.000  -0.10
Ta 0.500 0.500 0.500  1.77

Values from the calculation:
Volume, Å³ per cell: 120


Least stable structure: model Q


Model P:
Below is a geometry-optimized TaTe2HI structure, with properties calculated at the PBE level.

a = 5.382 Å, b = 5.382 Å, c = 5.776 Å
α = 90.00°, β = 90.00°, γ = 90.00°
Last column: magnetic moment on the atom in μB.
Atoms (fractional coordinates):
Te 0.500 0.000 0.000  0.01
Te 0.000 0.500 0.000  0.01
Ta 0.000 0.000 0.000  0.01
H 0.500 0.500 0.500  0.37
I 0.000 0.000 0.500  0.01

Values from the calculation:
Volume, Å³ per cell: 167


Model Q:
Below is a geometry-optimized TaTe2HI structure, with properties calculated at the PBE level.

a = 4.442 Å, b = 4.442 Å, c = 5.560 Å
α = 90.00°, β = 90.00°, γ = 90.00°
Last column: magnetic moment on the atom in μB.
Atoms (fractional coordinates):
I 0.000 0.000 0.500  -0.04
Ta 0.500 0.500 0.500  1.66
H 0.000 0.000 0.000  0.00
Te 0.500 0.000 0.000  -0.03
Te 0.000 0.500 0.000  -0.03

Values from the calculation:
Volume, Å³ per cell: 110


Least stable structure: model Q


Model P:
Below is a geometry-optimized TcHI3 structure, with properties calculated at the PBE level.

a = 5.617 Å, b = 5.617 Å, c = 5.617 Å
α = 90.00°, β = 90.00°, γ = 90.00°
Last column: magnetic moment on the atom in μB.
Atoms (fractional coordinates):
I 0.500 0.000 0.000  0.19
Tc 0.000 0.000 0.000  2.82
I 0.000 0.500 0.000  0.11
I 0.000 0.000 0.500  0.08
H 0.500 0.500 0.500  0.38

Values from the calculation:
Volume, Å³ per cell: 177


Model Q:
Below is a geometry-optimized TcHI3 structure, with properties calculated at the PBE level.

a = 4.829 Å, b = 4.829 Å, c = 4.829 Å
α = 90.00°, β = 90.00°, γ = 90.00°
Last column: magnetic moment on the atom in μB.
Atoms (fractional coordinates):
I 0.000 0.000 0.500  -0.02
H 0.000 0.000 0.000  0.00
I 0.500 0.000 0.000  -0.03
I 0.000 0.500 0.000  -0.04
Tc 0.500 0.500 0.500  0.34

Values from the calculation:
Volume, Å³ per cell: 113


Least stable structure: model Q


Model P:
Below is a geometry-optimized TcH2I structure, with properties calculated at the PBE level.

a = 5.957 Å, b = 5.957 Å, c = 5.154 Å
α = 54.69°, β = 54.69°, γ = 90.00°
Last column: magnetic moment on the atom in μB.
Atoms (fractional coordinates):
I 0.000 0.000 0.000  0.02
H 0.375 0.728 0.750  -0.01
I 0.750 0.250 0.500  0.02
H 0.272 0.125 0.250  -0.01
H 0.478 0.625 0.250  -0.01
Tc 0.250 0.750 0.500  0.78
Tc 0.500 0.500 0.000  0.78
H 0.875 0.522 0.750  -0.01

Values from the calculation:
Volume, Å³ per cell: 105


Model Q:
Below is a geometry-optimized TcH2I structure, with properties calculated at the PBE level.

a = 4.093 Å, b = 4.093 Å, c = 4.093 Å
α = 60.00°, β = 60.00°, γ = 60.00°
Last column: magnetic moment on the atom in μB.
Atoms (fractional coordinates):
H 0.750 0.750 0.750  -0.03
I 0.500 0.500 0.500  -0.01
H 0.250 0.250 0.250  -0.03
Tc 0.000 0.000 0.000  1.35

Values from the calculation:
Volume, Å³ per cell: 48


Least stable structure: model Q


Model P:
Below is a geometry-optimized Tc2HI structure, with properties calculated at the PBE level.

a = 4.876 Å, b = 4.876 Å, c = 6.265 Å
α = 67.10°, β = 67.10°, γ = 90.00°
Atoms (fractional coordinates):
Tc 0.277 0.625 0.250
I 0.750 0.250 0.500
H 0.250 0.750 0.500
Tc 0.473 0.125 0.250
I 0.000 0.000 0.000
Tc 0.875 0.723 0.750
Tc 0.375 0.527 0.750
H 0.500 0.500 0.000

Values from the calculation:
Volume, Å³ per cell: 124


Model Q:
Below is a geometry-optimized Tc2HI structure, with properties calculated at the PBE level.

a = 4.323 Å, b = 4.323 Å, c = 4.323 Å
α = 60.00°, β = 60.00°, γ = 60.00°
Atoms (fractional coordinates):
I 0.500 0.500 0.500
H 0.000 0.000 0.000
Tc 0.250 0.250 0.250
Tc 0.750 0.750 0.750

Values from the calculation:
Volume, Å³ per cell: 57


Least stable structure: model Q


Model P:
Below is a geometry-optimized Tc3HI structure, with properties calculated at the PBE level.

a = 4.069 Å, b = 4.069 Å, c = 4.069 Å
α = 90.00°, β = 90.00°, γ = 90.00°
Last column: magnetic moment on the atom in μB.
Atoms (fractional coordinates):
Tc 0.000 0.000 0.500  0.43
I 0.500 0.500 0.500  -0.01
H 0.000 0.000 0.000  0.00
Tc 0.000 0.500 0.000  0.45
Tc 0.500 0.000 0.000  0.34

Values from the calculation:
Volume, Å³ per cell: 67


Model Q:
Below is a geometry-optimized Tc3HI structure, with properties calculated at the PBE level.

a = 4.876 Å, b = 4.876 Å, c = 4.876 Å
α = 90.00°, β = 90.00°, γ = 90.00°
Last column: magnetic moment on the atom in μB.
Atoms (fractional coordinates):
I 0.000 0.000 0.000  -0.05
H 0.500 0.500 0.500  -0.03
Tc 0.000 0.000 0.500  1.16
Tc 0.500 0.000 0.000  1.04
Tc 0.000 0.500 0.000  1.01

Values from the calculation:
Volume, Å³ per cell: 116


Least stable structure: model Q


Model P:
Below is a geometry-optimized TcTeHI2 structure, with properties calculated at the PBE level.

a = 5.740 Å, b = 5.740 Å, c = 3.820 Å
α = 90.00°, β = 90.00°, γ = 90.00°
Last column: magnetic moment on the atom in μB.
Atoms (fractional coordinates):
Te 0.000 0.000 0.500  -0.17
I 0.500 0.000 0.000  0.01
H 0.000 0.000 0.000  0.00
Tc 0.500 0.500 0.500  3.55
I 0.000 0.500 0.000  0.01

Values from the calculation:
Volume, Å³ per cell: 126


Model Q:
Below is a geometry-optimized TcTeHI2 structure, with properties calculated at the PBE level.

a = 5.707 Å, b = 5.707 Å, c = 5.088 Å
α = 90.00°, β = 90.00°, γ = 90.00°
Last column: magnetic moment on the atom in μB.
Atoms (fractional coordinates):
H 0.500 0.500 0.500  0.38
Tc 0.000 0.000 0.000  1.51
I 0.500 0.000 0.000  0.08
Te 0.000 0.000 0.500  -0.10
I 0.000 0.500 0.000  0.08

Values from the calculation:
Volume, Å³ per cell: 166


Least stable structure: model P


Model P:
Below is a geometry-optimized TcTe2HI structure, with properties calculated at the PBE level.

a = 4.375 Å, b = 4.375 Å, c = 5.333 Å
α = 90.00°, β = 90.00°, γ = 90.00°
Atoms (fractional coordinates):
Te 0.000 0.500 0.000
H 0.000 0.000 0.000
I 0.000 0.000 0.500
Te 0.500 0.000 0.000
Tc 0.500 0.500 0.500

Values from the calculation:
Volume, Å³ per cell: 102


Model Q:
Below is a geometry-optimized TcTe2HI structure, with properties calculated at the PBE level.

a = 5.126 Å, b = 5.126 Å, c = 5.953 Å
α = 90.00°, β = 90.00°, γ = 90.00°
Last column: magnetic moment on the atom in μB.
Atoms (fractional coordinates):
Te 0.000 0.500 0.000  0.01
Tc 0.000 0.000 0.000  -0.33
Te 0.500 0.000 0.000  0.01
I 0.000 0.000 0.500  0.03
H 0.500 0.500 0.500  0.36

Values from the calculation:
Volume, Å³ per cell: 156


Least stable structure: model P


Model P:
Below is a geometry-optimized Te2HI structure, with properties calculated at the PBE level.

a = 4.859 Å, b = 8.636 Å, c = 12.397 Å
α = 79.20°, β = 90.00°, γ = 90.00°
Atoms (fractional coordinates):
H 0.907 0.622 0.335
Te 0.216 0.793 0.637
I 0.460 0.595 0.145
Te 0.216 0.707 0.863
I 0.540 0.405 0.855
H 0.093 0.378 0.665
Te 0.861 0.513 0.603
I 0.540 0.095 0.645
I 0.460 0.905 0.355
Te 0.784 0.207 0.363
Te 0.139 0.487 0.397
Te 0.861 0.987 0.897
H 0.907 0.878 0.165
Te 0.139 0.013 0.103
Te 0.784 0.293 0.137
H 0.093 0.122 0.835

Values from the calculation:
Volume, Å³ per cell: 511


Model Q:
Below is a geometry-optimized Te2HI structure, with properties calculated at the PBE level.

a = 5.274 Å, b = 5.274 Å, c = 5.274 Å
α = 60.00°, β = 60.00°, γ = 60.00°
Atoms (fractional coordinates):
I 0.500 0.500 0.500
Te 0.250 0.250 0.250
Te 0.750 0.750 0.750
H 0.000 0.000 0.000

Values from the calculation:
Volume, Å³ per cell: 104


Least stable structure: model Q


Model P:
Below is a geometry-optimized Te3HI structure, with properties calculated at the PBE level.

a = 5.943 Å, b = 5.943 Å, c = 5.943 Å
α = 90.00°, β = 90.00°, γ = 90.00°
Last column: magnetic moment on the atom in μB.
Atoms (fractional coordinates):
I 0.000 0.000 0.000  -0.01
H 0.500 0.500 0.500  0.37
Te 0.000 0.000 0.500  -0.01
Te 0.000 0.500 0.000  -0.01
Te 0.500 0.000 0.000  0.00

Values from the calculation:
Volume, Å³ per cell: 210


Model Q:
Below is a geometry-optimized Te3HI structure, with properties calculated at the PBE level.

a = 4.942 Å, b = 4.942 Å, c = 4.942 Å
α = 90.00°, β = 90.00°, γ = 90.00°
Atoms (fractional coordinates):
I 0.500 0.500 0.500
Te 0.000 0.500 0.000
H 0.000 0.000 0.000
Te 0.500 0.000 0.000
Te 0.000 0.000 0.500

Values from the calculation:
Volume, Å³ per cell: 121


Least stable structure: model P